# TiGa PBE optimized geometry
data_TiGa
_space_group_name_H-M_alt 'P 4/m c c'
_space_group_IT_number 124
_space_group_name_Hall '-P 4 2c'
_cell_length_a 7.489
_cell_length_b 7.489
_cell_length_c 4.921
_cell_angle_alpha 90.00
_cell_angle_beta 90.00
_cell_angle_gamma 90.00
loop_
_atom_site_label
_atom_site_type_symbol
_atom_site_fract_x
_atom_site_fract_y
_atom_site_fract_z
Ti1 Ti 0.069 0.272 0.000
Ga1 Ga 0.257 0.418 0.500
# Mass density ... 5.7 g/cm³
# Crystal system ... tetragonal
# Uncorrected energy ... -11.1 eV/f.u.